Entry from Alexandria: crystalline Cs3TeH at its relaxed geometry (GGA-PBE).

Summary:
Energy above the most stable polymorph in this dataset: 0.183 eV per atom
Fermi-level density of states: 0.00 states/eV per cell
SG: Fd-3m, No. 227

a b c (Å): 11.7423 11.7423 11.7423
angles (deg): 60.00 60.00 60.00
Closest atoms and distances in Å follow each position.
Fractional positions:
H (0.6250, 0.1250, 0.1250)  6 Cs 3.51
Cs (0.0091, 0.0091, 0.4909)  2 H 3.51, 2 Te 3.68
H (0.1250, 0.1250, 0.1250)  6 Cs 3.51
Te (0.6250, 0.1250, 0.6250)  6 Cs 3.68
H (0.1250, 0.6250, 0.1250)  6 Cs 3.51
H (0.1250, 0.1250, 0.6250)  6 Cs 3.51
Cs (0.0091, 0.4909, 0.0091)  2 H 3.51, 2 Te 3.68
Cs (0.7591, 0.2409, 0.2409)  2 H 3.51, 2 Te 3.68
Cs (0.0091, 0.4909, 0.4909)  2 H 3.51, 2 Te 3.68
Cs (0.4909, 0.4909, 0.0091)  2 H 3.51, 2 Te 3.68
Te (0.1250, 0.6250, 0.6250)  6 Cs 3.68
Te (0.6250, 0.6250, 0.1250)  6 Cs 3.68
Te (0.6250, 0.6250, 0.6250)  6 Cs 3.68
Cs (0.2409, 0.7591, 0.7591)  2 H 3.51, 2 Te 3.68
Cs (0.4909, 0.0091, 0.0091)  2 H 3.51, 2 Te 3.68
Cs (0.7591, 0.2409, 0.7591)  2 H 3.51, 2 Te 3.68
Cs (0.4909, 0.0091, 0.4909)  2 H 3.51, 2 Te 3.68
Cs (0.2409, 0.7591, 0.2409)  2 H 3.51, 2 Te 3.68
Cs (0.7591, 0.7591, 0.2409)  2 H 3.51, 2 Te 3.68
Cs (0.2409, 0.2409, 0.7591)  2 H 3.51, 2 Te 3.68